## La5Pr2Tl4 (PBE-GGA)

Data for a relaxed La5Pr2Tl4 crystal.

Cell and atoms, written as CIF:
```
data_La5Pr2Tl4
_space_group_name_H-M_alt 'P 1 2/m 1'
_space_group_IT_number 10
_cell_length_a 8.986
_cell_length_b 3.582
_cell_length_c 10.996
_cell_angle_alpha 90.00
_cell_angle_beta 95.55
_cell_angle_gamma 90.00
loop_
_space_group_symop_operation_xyz
'x,y,z'
'-x,-y,-z'
'-x,y,-z'
'x,-y,z'
loop_
_atom_site_label
_atom_site_type_symbol
_atom_site_fract_x
_atom_site_fract_y
_atom_site_fract_z
La1 La 0.000 0.000 0.000
La2 La 0.041 0.000 0.336
La3 La 0.341 0.000 0.859
Pr1 Pr 0.419 0.000 0.362
Tl1 Tl 0.253 0.500 0.579
Tl2 Tl 0.299 0.500 0.121
```

As for the formation energy: -0.2477 eV/atom. Its magnetization is 0.0 μB/cell. Its density of states at the Fermi level is 1.27 states/eV/atom.